# 1
VPdPt3 | PBE | relaxed

abc: 5.8377 7.5201 7.2845
angles: 90.00 90.00 90.00
Fractional coordinates of all 20 atoms:
V  0.0000  0.0000  0.0000
V  0.0000  0.5000  0.0000
V  0.5000  0.0000  0.5000
V  0.5000  0.5000  0.5000
Pd  0.2120  0.2500  0.3439
Pd  0.2880  0.7500  0.8439
Pd  0.7120  0.2500  0.1561
Pd  0.7880  0.7500  0.6561
Pt  0.1185  0.0522  0.6662
Pt  0.1185  0.4478  0.6662
Pt  0.2362  0.7500  0.4626
Pt  0.2638  0.2500  0.9626
Pt  0.3815  0.5522  0.1662
Pt  0.3815  0.9478  0.1662
Pt  0.6185  0.0522  0.8338
Pt  0.6185  0.4478  0.8338
Pt  0.7362  0.7500  0.0374
Pt  0.7638  0.2500  0.5374
Pt  0.8815  0.5522  0.3338
Pt  0.8815  0.9478  0.3338

**Excess energy over the best structure of this formula in the dataset**: 0.114 eV per atom
**Formation energy**: -0.7 eV per formula unit
**V**: 320 Å³ per cell



# 2
V2Pd5Pt12 | PBE | relaxed

abc: 7.7777 7.7777 9.5422
angles: 114.91 114.91 40.64
Fractional coordinates of all 19 atoms:
V  0.2334  0.7666  0.0000
V  0.7666  0.2334  0.0000
Pd  0.1738  0.1738  0.5156
Pd  0.1770  0.1770  0.0157
Pd  0.5000  0.5000  0.5000
Pd  0.8230  0.8230  0.9843
Pd  0.8262  0.8262  0.4844
Pt  0.0033  0.0033  0.2475
Pt  0.0838  0.5811  0.7428
Pt  0.0994  0.5941  0.2530
Pt  0.4059  0.9006  0.7470
Pt  0.4189  0.9162  0.2572
Pt  0.4954  0.4954  0.2186
Pt  0.5046  0.5046  0.7814
Pt  0.5811  0.0838  0.7428
Pt  0.5941  0.0994  0.2530
Pt  0.9006  0.4059  0.7470
Pt  0.9162  0.4189  0.2572
Pt  0.9967  0.9967  0.7525

**Formation energy**: 1.3 eV per formula unit
**V**: 336 Å³ per cell



# 3
V2PdPt2 | PBE | relaxed

abc: 7.4767 7.4767 2.7270
angles: 90.00 90.00 90.00
Fractional coordinates of all 10 atoms:
V  0.1660  0.3340  0.0000
V  0.3340  0.8340  0.0000
V  0.6660  0.1660  0.0000
V  0.8340  0.6660  0.0000
Pd  0.0000  0.0000  0.5000
Pd  0.5000  0.5000  0.5000
Pt  0.1312  0.6312  0.5000
Pt  0.3688  0.1312  0.5000
Pt  0.6312  0.8688  0.5000
Pt  0.8688  0.3688  0.5000

**Excess energy over the best structure of this formula in the dataset**: 0.000 eV per atom
**Formation energy**: -1.9 eV per formula unit
**V**: 152 Å³ per cell



# 4
VPd2Pt6 | PBE | relaxed

abc: 7.7116 7.7116 2.7255
angles: 90.00 90.00 120.00
Fractional coordinates of all 9 atoms:
V  0.0000  0.0000  0.0000
Pd  0.3333  0.6667  0.5000
Pd  0.6667  0.3333  0.5000
Pt  0.0000  0.3242  0.7833
Pt  0.0000  0.6758  0.2167
Pt  0.3242  0.0000  0.7833
Pt  0.3242  0.3242  0.2167
Pt  0.6758  0.0000  0.2167
Pt  0.6758  0.6758  0.7833

**Excess energy over the best structure of this formula in the dataset**: 0.109 eV per atom
**Formation energy**: -1.0 eV per formula unit
**V**: 140 Å³ per cell



The highest formation energy belongs to which entry? V2Pd5Pt12